Material: TcBSe3
Method: DFT, PBE-GGA
State: optimized geometry

Properties
- Uncorrected formation energy: 481 kJ/mol of formula units
- Offset from the most stable computed form: 0.00 eV/f.u.
- E_tot: -4.503 eV per atom
- Total magnetic moment: 0.074 μB per atom

Geometry as POSCAR:
```
TcBSe3
1.0
4.331 0.000 0.000
0.000 4.331 0.000
0.000 0.000 4.331
Tc B Se
1 1 3
Direct
0.000 0.000 0.000
0.500 0.500 0.500
0.000 0.500 0.500
0.500 0.000 0.500
0.500 0.500 0.000
```

***

Material: ScCo
Method: DFT, PBE-GGA
State: optimized geometry

Properties
- Formation energy from the elements: 0.047 eV per atom
- E_tot: -6.672 eV per atom
- Total magnetic moment: 0.178 μB per atom

Geometry as POSCAR:
```
ScCo
1.0
3.090 0.000 0.000
-1.545 2.676 0.000
0.000 0.000 7.744
Sc Co
2 2
Direct
0.000 0.000 0.000
0.000 0.000 0.500
0.333 0.667 0.250
0.667 0.333 0.750
```

***

Material: KAg2Mo
Method: DFT, PBE-GGA
State: optimized geometry

Properties
- Offset from the most stable computed form: 0.53 eV/f.u.
- Formation energy from the elements: 0.746 eV per atom
- E_tot: -3.662 eV per atom
- Total magnetic moment: 0.004 μB per atom

Geometry as POSCAR:
```
KAg2Mo
1.0
4.593 -1.369 0.000
4.593 1.369 0.000
-0.484 0.000 7.430
K Ag Mo
1 2 1
Direct
0.000 0.000 0.000
0.242 0.242 0.677
0.758 0.758 0.323
0.500 0.500 0.500
```

***

Material: NaPbAuO4
Method: DFT, PBE-GGA
State: optimized geometry

Properties
- Uncorrected formation energy: -511 kJ/mol of formula units
- E_tot: -4.776 eV per atom
- Total magnetic moment: 0.000 μB per atom

Geometry as POSCAR:
```
NaPbAuO4
1.0
-3.107 3.238 5.591
3.107 -3.238 5.591
3.107 3.238 -5.591
Na Pb Au O
2 2 2 8
Direct
0.401 0.151 0.250
0.599 0.849 0.750
0.000 0.500 0.500
0.500 0.500 0.000
0.000 0.000 0.500
0.000 0.500 0.000
0.168 0.716 0.452
0.236 0.284 0.952
0.268 0.290 0.522
0.268 0.746 0.978
0.732 0.254 0.022
0.732 0.710 0.478
0.764 0.716 0.048
0.832 0.284 0.548
```

***

Material: GaTeBr3
Method: DFT, PBE-GGA
State: optimized geometry

Properties
- Uncorrected formation energy: -82 kJ/mol of formula units
- Offset from the most stable computed form: 0.00 eV/f.u.
- E_tot: -2.407 eV per atom
- Total magnetic moment: 0.000 μB per atom

Geometry as POSCAR:
```
GaTeBr3
1.0
5.776 0.000 0.000
0.000 5.776 0.000
0.000 0.000 5.776
Ga Te Br
1 1 3
Direct
0.000 0.000 0.000
0.500 0.500 0.500
0.000 0.500 0.500
0.500 0.000 0.500
0.500 0.500 0.000
```

***

Material: Tl4Zn3AgF12
Method: DFT, PBE-GGA
State: optimized geometry

Properties
- Uncorrected formation energy: -3725 kJ/mol of formula units
- E_tot: -3.860 eV per atom
- Total magnetic moment: 0.054 μB per atom

Geometry as POSCAR:
```
Tl4Zn3AgF12
1.0
-4.265 4.265 4.265
4.265 -4.265 4.265
4.265 4.265 -4.265
Tl Zn Ag F
4 3 1 12
Direct
0.000 0.000 0.500
0.000 0.500 0.000
0.500 0.000 0.000
0.500 0.500 0.500
0.000 0.500 0.500
0.500 0.000 0.500
0.500 0.500 0.000
0.000 0.000 0.000
0.000 0.266 0.266
0.000 0.734 0.734
0.250 0.500 0.750
0.250 0.750 0.500
0.266 0.000 0.266
0.266 0.266 0.000
0.500 0.250 0.750
0.500 0.750 0.250
0.734 0.000 0.734
0.734 0.734 0.000
0.750 0.250 0.500
0.750 0.500 0.250
```

***

Material: BaY2W
Method: DFT, PBE-GGA
State: optimized geometry

Properties
- Offset from the most stable computed form: 1.80 eV/f.u.
- Formation energy from the elements: 0.918 eV per atom
- E_tot: -6.033 eV per atom
- Total magnetic moment: 0.001 μB per atom

Geometry as POSCAR:
```
BaY2W
1.0
5.010 0.000 0.000
0.000 5.010 0.000
0.000 0.000 4.513
Ba Y W
1 2 1
Direct
0.000 0.000 0.000
0.000 0.500 0.500
0.500 0.000 0.500
0.500 0.500 0.000
```

***

Material: La2Ho4Er5
Method: DFT, PBE-GGA
State: optimized geometry

Properties
- Offset from the most stable computed form: 0.00 eV/f.u.
- Formation energy from the elements: 0.151 eV per atom
- E_tot: -4.484 eV per atom
- Total magnetic moment: 0.000 μB per atom

Geometry as POSCAR:
```
La2Ho4Er5
1.0
11.913 -1.711 0.000
11.913 1.711 0.000
-1.133 0.000 8.692
La Ho Er
2 4 5
Direct
0.092 0.092 0.251
0.908 0.908 0.749
0.047 0.047 0.861
0.321 0.321 0.026
0.679 0.679 0.974
0.953 0.953 0.139
0.141 0.141 0.626
0.235 0.235 0.327
0.500 0.500 0.500
0.765 0.765 0.673
0.859 0.859 0.374
```

***

Material: Cs2PmPu3O12
Method: DFT, PBE-GGA
State: optimized geometry

Properties
- Uncorrected formation energy: -4443 kJ/mol of formula units
- E_tot: -8.611 eV per atom
- Total magnetic moment: 0.278 μB per atom

Geometry as POSCAR:
```
Cs2PmPu3O12
1.0
4.008 2.314 6.330
-4.008 2.314 6.330
0.000 -4.628 6.330
Cs Pm Pu O
2 1 3 12
Direct
0.120 0.120 0.120
0.880 0.880 0.880
0.500 0.500 0.500
0.000 0.500 0.500
0.500 0.000 0.500
0.500 0.500 0.000
0.148 0.577 0.577
0.194 0.194 0.571
0.194 0.571 0.194
0.423 0.423 0.852
0.423 0.852 0.423
0.429 0.806 0.806
0.571 0.194 0.194
0.577 0.148 0.577
0.577 0.577 0.148
0.806 0.429 0.806
0.806 0.806 0.429
0.852 0.423 0.423
```

***

Material: BaPmI2O8
Method: DFT, PBE-GGA
State: optimized geometry

Properties
- Uncorrected formation energy: -1506 kJ/mol of formula units
- E_tot: -5.421 eV per atom
- Total magnetic moment: 0.087 μB per atom

Geometry as POSCAR:
```
BaPmI2O8
1.0
2.954 1.705 6.988
-2.954 1.705 6.988
0.000 -3.411 6.988
Ba Pm I O
1 1 2 8
Direct
0.000 0.000 0.000
0.500 0.500 0.500
0.232 0.232 0.232
0.768 0.768 0.768
0.102 0.439 0.774
0.226 0.898 0.561
0.318 0.318 0.318
0.439 0.774 0.102
0.561 0.226 0.898
0.682 0.682 0.682
0.774 0.102 0.439
0.898 0.561 0.226
```

***

Material: LiScIn
Method: DFT, PBE-GGA
State: optimized geometry

Properties
- Formation energy from the elements: 0.014 eV per atom
- E_tot: -3.648 eV per atom
- Total magnetic moment: 0.091 μB per atom

Geometry as POSCAR:
```
LiScIn
1.0
4.780 0.000 0.000
0.000 3.200 0.000
-0.031 0.000 5.080
Li Sc In
1 1 1
Direct
0.000 0.000 0.000
0.500 0.000 0.500
0.500 0.500 0.000
```

***

Material: Nd3Ir
Method: DFT, PBE-GGA
State: optimized geometry

Properties
- Formation energy from the elements: -0.324 eV per atom
- E_tot: -6.115 eV per atom
- Total magnetic moment: 0.000 μB per atom

Geometry as POSCAR:
```
Nd3Ir
1.0
-1.889 5.548 2.789
1.889 -5.548 2.789
1.889 5.548 -2.789
Nd Ir
3 1
Direct
0.000 0.000 0.000
0.308 0.503 0.805
0.698 0.503 0.195
0.549 0.049 0.500
```

***

Material: RbZrSc
Method: DFT, PBE-GGA
State: optimized geometry

Properties
- Offset from the most stable computed form: 1.71 eV/f.u.
- Formation energy from the elements: 0.843 eV per atom
- E_tot: -4.439 eV per atom
- Total magnetic moment: 0.354 μB per atom

Geometry as POSCAR:
```
RbZrSc
1.0
3.974 0.000 0.000
0.000 3.974 0.000
0.000 0.000 15.010
Rb Zr Sc
2 2 2
Direct
0.250 0.250 0.141
0.750 0.750 0.859
0.250 0.250 0.660
0.750 0.750 0.340
0.250 0.750 0.500
0.750 0.250 0.500
```

***

Material: Sm3CuAg2
Method: DFT, PBE-GGA
State: optimized geometry

Properties
- Offset from the most stable computed form: 0.07 eV/f.u.
- Formation energy from the elements: -0.233 eV per atom
- E_tot: -4.225 eV per atom
- Total magnetic moment: 0.000 μB per atom

Geometry as POSCAR:
```
Sm3CuAg2
1.0
5.193 0.000 0.000
-2.596 4.497 0.000
0.000 0.000 12.672
Sm Cu Ag
6 2 4
Direct
0.000 0.000 0.244
0.000 0.000 0.756
0.333 0.667 0.410
0.333 0.667 0.917
0.667 0.333 0.083
0.667 0.333 0.590
0.333 0.667 0.164
0.667 0.333 0.836
0.000 0.000 0.000
0.000 0.000 0.500
0.333 0.667 0.665
0.667 0.333 0.335
```

***

Material: NdSmHo2Tm
Method: DFT, PBE-GGA
State: optimized geometry

Properties
- Formation energy from the elements: 0.392 eV per atom
- E_tot: -4.230 eV per atom
- Total magnetic moment: 0.001 μB per atom

Geometry as POSCAR:
```
NdSmHo2Tm
1.0
4.201 -5.739 0.000
4.201 5.739 0.000
0.000 0.000 7.173
Nd Sm Ho Tm
2 2 4 2
Direct
0.229 0.771 0.750
0.771 0.229 0.250
0.499 0.501 0.750
0.501 0.499 0.250
0.187 0.187 0.000
0.187 0.187 0.500
0.813 0.813 0.000
0.813 0.813 0.500
0.220 0.780 0.250
0.780 0.220 0.750
```

***

Material: Ac6SiNi2Br3
Method: DFT, PBE-GGA
State: optimized geometry

Properties
- Uncorrected formation energy: -1018 kJ/mol of formula units
- E_tot: -4.767 eV per atom
- Total magnetic moment: 0.000 μB per atom

Geometry as POSCAR:
```
Ac6SiNi2Br3
1.0
10.142 -2.177 0.000
10.142 2.177 0.000
-2.913 0.000 9.161
Ac Si Ni Br
6 1 2 3
Direct
0.016 0.016 0.236
0.321 0.321 0.449
0.339 0.339 0.881
0.661 0.661 0.119
0.679 0.679 0.551
0.984 0.984 0.764
0.500 0.500 0.000
0.170 0.170 0.337
0.830 0.830 0.663
0.158 0.158 0.835
0.500 0.500 0.500
0.842 0.842 0.165
```

***

Material: DyCu2Sb2
Method: DFT, PBE-GGA
State: optimized geometry

Properties
- Uncorrected formation energy: -221 kJ/mol of formula units
- E_tot: -4.665 eV per atom
- Total magnetic moment: 0.000 μB per atom

Geometry as POSCAR:
```
DyCu2Sb2
1.0
2.160 -11.147 0.000
2.160 11.147 0.000
0.000 0.000 4.304
Dy Cu Sb
2 4 4
Direct
0.139 0.861 0.750
0.861 0.139 0.250
0.029 0.971 0.250
0.470 0.530 0.250
0.530 0.470 0.750
0.971 0.029 0.750
0.250 0.750 0.250
0.400 0.600 0.750
0.600 0.400 0.250
0.750 0.250 0.750
```

***

Material: K2ReHgO6
Method: DFT, PBE-GGA
State: optimized geometry

Properties
- Uncorrected formation energy: -1218 kJ/mol of formula units
- E_tot: -5.732 eV per atom
- Total magnetic moment: 0.105 μB per atom

Geometry as POSCAR:
```
K2ReHgO6
1.0
5.901 0.000 0.000
-2.291 5.493 0.000
-2.351 -2.254 5.090
K Re Hg O
2 1 1 6
Direct
0.000 0.000 0.000
0.003 0.472 0.538
0.503 0.240 0.764
0.503 0.738 0.262
0.133 0.978 0.572
0.352 0.411 0.947
0.538 0.470 0.606
0.583 0.084 0.025
0.621 0.055 0.580
0.883 0.472 0.054
```

***

Material: KW2Se
Method: DFT, PBE-GGA
State: optimized geometry

Properties
- Uncorrected formation energy: 240 kJ/mol of formula units
- E_tot: -7.001 eV per atom
- Total magnetic moment: 0.000 μB per atom

Geometry as POSCAR:
```
KW2Se
1.0
4.218 -1.588 0.000
4.218 1.588 0.000
-0.970 0.000 7.270
K W Se
1 2 1
Direct
0.000 0.000 0.000
0.217 0.217 0.627
0.489 0.489 0.498
0.759 0.759 0.332
```

***

Material: Nd2PaTl3S6
Method: DFT, PBE-GGA
State: optimized geometry

Properties
- Uncorrected formation energy: -1532 kJ/mol of formula units
- E_tot: -5.564 eV per atom
- Total magnetic moment: 0.168 μB per atom

Geometry as POSCAR:
```
Nd2PaTl3S6
1.0
3.573 -6.184 0.000
3.573 6.184 0.000
-2.383 0.000 7.583
Nd Pa Tl S
2 1 3 6
Direct
0.166 0.834 0.000
0.834 0.166 0.000
0.500 0.500 0.000
0.000 0.000 0.500
0.329 0.671 0.500
0.671 0.329 0.500
0.114 0.433 0.800
0.249 0.249 0.204
0.433 0.114 0.800
0.567 0.886 0.200
0.751 0.751 0.796
0.886 0.567 0.200
```